Li2NpNb3N6 after structural relaxation, computed with PBE-GGA.

Properties
The density of states at the Fermi level is 7.20 states/eV/cell. The energy relative to the elements, uncorrected comes out at -1017.4 meV/atom. The space-group type is C2/m (12).

Lattice parameters (Å, degrees): 3.148 6.485 7.034 105.45 102.93 90.00
Site moments in Bohr magnetons follow the coordinates.
Fractional coordinates of all 12 atoms:
Li 0.824 0.637 0.648  0.00
Li 0.176 0.363 0.352  0.00
Np 0.500 0.000 0.000  2.40
Nb 0.500 0.500 0.000  0.01
Nb 0.826 0.174 0.651  0.01
Nb 0.174 0.826 0.349  0.01
N 0.335 0.931 0.669  -0.04
N 0.665 0.603 0.329  0.02
N 0.665 0.069 0.331  -0.04
N 0.999 0.264 0.998  -0.05
N 0.001 0.736 0.002  -0.05
N 0.335 0.397 0.671  0.02